# Ag2BiAs

A relaxed Ag2BiAs crystal (GGA-PBE, Alexandria via LeMat-Bulk).

The structure belongs to space group P4/mmm (No. 123); the cell edges are 4.435, 4.435 and 4.455 Å and the angles 90.00°, 90.00° and 90.00°. The distinct sites, in fractional coordinates, are Ag at (0.000, 0.500, 0.000), Bi at (0.000, 0.000, 0.500) and As at (0.500, 0.500, 0.500).

The magnetization comes out at 0.000 μB/f.u. The formation energy is 0.171 eV/atom. The value obtained for the total energy is -0.2490 Ry/atom.